No. 1
# Ba4Zn2Cd

A relaxed structure of Ba4Zn2Cd (PBE, Alexandria).

Lattice parameters (Å, degrees): 8.3019 8.3019 8.3218 90.00 90.00 90.00
With the nearest neighbours (Å) after each atom.
Space group I4/mmm (No. 139)
Unique sites:
1 Ba 0.2500 0.2500 0.2500 (multiplicity 8)  2 Cd 3.60, 4 Zn 3.60
2 Zn 0.0000 0.5000 0.0000 (multiplicity 4)  8 Ba 3.60
3 Cd 0.0000 0.0000 0.0000 (multiplicity 2)  8 Ba 3.60

* ΔH_f (0 K): -143 meV/atom
* crystal system: tetragonal

No. 2
# CaSmH2

A relaxed structure of CaSmH2 (PBE, Alexandria).

Lattice parameters (Å, degrees): 3.6602 3.6602 17.6934 90.00 90.00 120.00
With the nearest neighbours (Å) after each atom.
Space group R-3m (No. 166, hexagonal axes)
Unique sites:
1 Ca 0.0000 0.0000 0.0000 (multiplicity 3)  6 H 2.78
2 Sm 0.0000 0.0000 0.5000 (multiplicity 3)  6 H 2.40
3 H 0.0000 0.0000 0.2314 (multiplicity 6)  3 Sm 2.40

* ΔE to the lowest computed polymorph: 0 meV per atom
* crystal system: trigonal

No. 3
# MgSnBi2

A relaxed structure of MgSnBi2 (PBE, Alexandria).

Lattice parameters (Å, degrees): 3.9595 3.9595 7.2827 90.00 90.00 90.00
With the nearest neighbours (Å) after each atom.
Space group P4/mmm (No. 123)
Unique sites:
1 Mg 0.0000 0.0000 0.0000 (multiplicity 1)  8 Bi 3.28, 2 Sn 3.64
2 Sn 0.0000 0.0000 0.5000 (multiplicity 1)  8 Bi 3.41, 2 Mg 3.64
3 Bi 0.5000 0.5000 0.2334 (multiplicity 2)  4 Mg 3.28, 1 Bi 3.40, 4 Sn 3.41

* ΔH_f (0 K): 21 meV/atom
* crystal system: tetragonal

No. 4
# Tb2PuTl9

A relaxed structure of Tb2PuTl9 (PBE, Alexandria).

Lattice parameters (Å, degrees): 4.7714 4.7714 14.3537 90.00 90.00 90.00
With the nearest neighbours (Å) after each atom.
Space group P4/mmm (No. 123)
Unique sites:
1 Tb 0.0000 0.0000 0.1641 (multiplicity 2)  12 Tl 3.35-3.40
2 Pu 0.0000 0.0000 0.5000 (multiplicity 1)  12 Tl 3.37-3.39
3 Tl 0.0000 0.5000 0.0000 (multiplicity 2)  4 Tb 3.35, 8 Tl 3.37-3.39
4 Tl 0.0000 0.5000 0.3324 (multiplicity 4)  8 Tl 3.36-3.39, 2 Pu 3.39, 2 Tb 3.40
5 Tl 0.5000 0.5000 0.1676 (multiplicity 2)  8 Tl 3.36-3.39, 4 Tb 3.37
6 Tl 0.5000 0.5000 0.5000 (multiplicity 1)  4 Pu 3.37, 8 Tl 3.39

* ΔH_f (0 K): -178 meV/atom
* crystal system: tetragonal

> Number 3 is which compound?

MgSnBi2